Density functional theory data (GGA-PBEsol) for a relaxed structure of CoMoCl.

The energy above the lowest structure with this stoichiometry comes out at 0.812 eV per atom.

It has space group F-43m (No. 216), with a = 5.6778 Å, b = 5.6778 Å, c = 5.6778 Å, α = 90.00°, β = 90.00° and γ = 90.00°. Symmetry generates all atoms from Co at (0.0000, 0.0000, 0.0000), Mo at (0.2500, 0.2500, 0.2500) and Cl at (0.2500, 0.2500, 0.7500).

=====

Density functional theory data (GGA-PBEsol) for a relaxed structure of Co2MoCl.

It has space group P4/mmm (No. 123), with a = 4.3788 Å, b = 4.3788 Å, c = 2.6628 Å, α = 90.00°, β = 90.00° and γ = 90.00°. Symmetry generates all atoms from Co at (0.0000, 0.5000, 0.0000), Mo at (0.0000, 0.0000, 0.5000) and Cl at (0.5000, 0.5000, 0.5000).

=====

| no. | ΔE_f (raw) (eV/atom) | uncorrected energy (eV/atom) |
| --- | --- | --- |
| 1 | 1.085 | -6.086 |
| 2 | 0.824 | -6.488 |